No. 1
VASP calculation (PBE) on a geometry-optimized Ac8TbEr2 structure.

POSCAR file:
```
Ac8TbEr2
1.0
9.775 -2.762 0.000
9.775 2.762 0.000
-2.336 0.000 8.331
Ac Tb Er
8 1 2
direct
0.047 0.047 0.230
0.139 0.139 0.692
0.318 0.318 0.584
0.405 0.405 0.046
0.595 0.595 0.954
0.682 0.682 0.416
0.861 0.861 0.308
0.953 0.953 0.770
0.500 0.500 0.500
0.226 0.226 0.132
0.774 0.774 0.868
```

Properties
**Formation enthalpy at 0 K**: 0.0560 eV per atom
**Volume**: 40.9 A^3/atom
**Electronic total energy**: -4.183 eV/atom



No. 2
VASP calculation (PBE) on a geometry-optimized AcTb4Er3 structure.

POSCAR file:
```
AcTb4Er3
1.0
13.402 0.000 0.000
0.000 11.774 0.000
-0.894 0.000 3.356
Ac Tb Er
2 8 6
direct
0.000 0.000 0.000
0.500 0.500 0.000
0.135 0.254 0.136
0.135 0.746 0.136
0.365 0.246 0.864
0.365 0.754 0.864
0.635 0.246 0.136
0.635 0.754 0.136
0.865 0.254 0.864
0.865 0.746 0.864
0.000 0.500 0.500
0.245 0.000 0.744
0.255 0.500 0.256
0.500 0.000 0.500
0.745 0.500 0.744
0.755 0.000 0.256
```

Properties
**Formation enthalpy at 0 K**: 0.1679 eV per atom
**Volume**: 33.1 A^3/atom
**Electronic total energy**: -4.372 eV/atom
**E above lowest polymorph**: 0 meV/atom



No. 3
VASP calculation (PBE) on a geometry-optimized AcTb2Er5 structure.

POSCAR file:
```
AcTb2Er5
1.0
7.150 0.000 0.000
0.000 14.302 0.000
0.000 0.000 10.146
Ac Tb Er
4 8 20
direct
0.248 0.127 0.000
0.252 0.627 0.000
0.748 0.373 0.000
0.752 0.873 0.000
0.000 0.500 0.258
0.000 0.500 0.742
0.249 0.125 0.500
0.251 0.625 0.500
0.500 0.000 0.258
0.500 0.000 0.742
0.749 0.375 0.500
0.751 0.875 0.500
0.000 0.000 0.258
0.000 0.000 0.742
0.002 0.750 0.259
0.002 0.750 0.741
0.248 0.376 0.000
0.249 0.375 0.500
0.251 0.875 0.500
0.252 0.876 0.000
0.498 0.250 0.259
0.498 0.250 0.741
0.500 0.500 0.258
0.500 0.500 0.742
0.502 0.750 0.259
0.502 0.750 0.741
0.748 0.124 0.000
0.749 0.125 0.500
0.751 0.625 0.500
0.752 0.624 0.000
0.998 0.250 0.259
0.998 0.250 0.741
```

Properties
**Formation enthalpy at 0 K**: 0.0442 eV per atom
**Volume**: 32.4 A^3/atom
**Electronic total energy**: -4.479 eV/atom



No. 4
VASP calculation (PBE) on a geometry-optimized AcTbEr5 structure.

POSCAR file:
```
AcTbEr5
1.0
5.911 -3.367 0.000
5.911 3.367 0.000
-3.908 0.000 11.683
Ac Tb Er
2 2 10
direct
0.000 0.500 0.000
0.500 0.000 0.500
0.023 0.977 0.750
0.977 0.023 0.250
0.117 0.429 0.733
0.206 0.669 0.507
0.331 0.794 0.993
0.426 0.574 0.250
0.429 0.117 0.233
0.571 0.883 0.767
0.574 0.426 0.750
0.669 0.206 0.007
0.794 0.331 0.493
0.883 0.571 0.267
```

Properties
**Formation enthalpy at 0 K**: 0.2019 eV per atom
**Volume**: 33.2 A^3/atom
**Electronic total energy**: -4.306 eV/atom



No. 5
VASP calculation (PBE) on a geometry-optimized AcTbEr4 structure.

POSCAR file:
```
AcTbEr4
1.0
5.323 -6.632 0.000
5.323 6.632 0.000
-3.597 0.000 5.611
Ac Tb Er
2 2 8
direct
0.074 0.926 0.750
0.926 0.074 0.250
0.191 0.809 0.250
0.809 0.191 0.750
0.152 0.519 0.755
0.263 0.419 0.256
0.419 0.263 0.756
0.481 0.848 0.745
0.519 0.152 0.255
0.581 0.737 0.244
0.737 0.581 0.744
0.848 0.481 0.245
```

Properties
**Formation enthalpy at 0 K**: 0.0631 eV per atom
**Volume**: 33.0 A^3/atom
**Electronic total energy**: -4.435 eV/atom
**E above lowest polymorph**: 0 meV/atom



No. 6
VASP calculation (PBE) on a geometry-optimized Ac5TbEr structure.

POSCAR file:
```
Ac5TbEr
1.0
3.443 -12.194 0.000
3.443 12.194 0.000
-1.473 0.000 7.042
Ac Tb Er
10 2 2
direct
0.139 0.861 0.750
0.188 0.283 0.657
0.273 0.677 0.500
0.283 0.188 0.157
0.323 0.727 0.000
0.677 0.273 0.000
0.717 0.812 0.843
0.727 0.323 0.500
0.812 0.717 0.343
0.861 0.139 0.250
0.171 0.829 0.250
0.829 0.171 0.750
0.421 0.579 0.250
0.579 0.421 0.750
```

Properties
**Formation enthalpy at 0 K**: 0.2402 eV per atom
**Volume**: 42.2 A^3/atom
**Electronic total energy**: -4.008 eV/atom



No. 7
VASP calculation (PBE) on a geometry-optimized Ac2Tb3Er8 structure.

POSCAR file:
```
Ac2Tb3Er8
1.0
7.382 -4.583 0.000
7.382 4.583 0.000
-2.182 0.000 6.672
Ac Tb Er
2 3 8
direct
0.225 0.225 0.418
0.775 0.775 0.582
0.000 0.000 0.000
0.176 0.824 0.500
0.824 0.176 0.500
0.191 0.191 0.891
0.202 0.567 0.842
0.427 0.427 0.267
0.433 0.798 0.158
0.567 0.202 0.842
0.573 0.573 0.733
0.798 0.433 0.158
0.809 0.809 0.109
```

Properties
**Formation enthalpy at 0 K**: 0.2458 eV per atom
**Volume**: 34.7 A^3/atom
**Electronic total energy**: -4.263 eV/atom



No. 8
VASP calculation (PBE) on a geometry-optimized AcTb3Er6 structure.

POSCAR file:
```
AcTb3Er6
1.0
5.587 0.000 0.000
-2.774 8.062 0.000
-2.789 -3.539 7.675
Ac Tb Er
1 3 6
direct
0.000 0.000 0.000
0.000 0.500 0.500
0.037 0.770 0.303
0.963 0.230 0.697
0.313 0.477 0.146
0.345 0.235 0.455
0.395 0.036 0.754
0.605 0.964 0.246
0.655 0.765 0.545
0.687 0.523 0.854
```

Properties
**Formation enthalpy at 0 K**: 0.2697 eV per atom
**Volume**: 34.6 A^3/atom
**Electronic total energy**: -4.268 eV/atom
**E above lowest polymorph**: 120 meV/atom



No. 9
VASP calculation (PBE) on a geometry-optimized AcTb12Er7 structure.

POSCAR file:
```
AcTb12Er7
1.0
-5.686 5.686 5.686
5.686 -5.686 5.686
5.686 5.686 -5.686
Ac Tb Er
1 12 7
direct
0.000 0.000 0.000
0.001 0.267 0.734
0.266 0.532 0.267
0.266 0.999 0.733
0.267 0.266 0.532
0.267 0.734 0.001
0.468 0.733 0.734
0.532 0.267 0.266
0.733 0.266 0.999
0.733 0.734 0.468
0.734 0.001 0.267
0.734 0.468 0.733
0.999 0.733 0.266
0.000 0.000 0.500
0.000 0.500 0.000
0.000 0.500 0.500
0.500 0.000 0.000
0.500 0.000 0.500
0.500 0.500 0.000
0.500 0.500 0.500
```

Properties
**Formation enthalpy at 0 K**: 0.6770 eV per atom
**Volume**: 36.8 A^3/atom
**Electronic total energy**: -3.904 eV/atom
**E above lowest polymorph**: 439 meV/atom



No. 10
VASP calculation (PBE) on a geometry-optimized Ac5Tb4Er structure.

POSCAR file:
```
Ac5Tb4Er
1.0
4.318 0.000 0.000
0.000 4.318 0.000
0.000 0.000 20.302
Ac Tb Er
5 4 1
direct
0.000 0.000 0.000
0.000 0.000 0.200
0.000 0.000 0.401
0.000 0.000 0.599
0.000 0.000 0.800
0.500 0.500 0.100
0.500 0.500 0.301
0.500 0.500 0.699
0.500 0.500 0.900
0.500 0.500 0.500
```

Properties
**Formation enthalpy at 0 K**: 0.0916 eV per atom
**Volume**: 37.9 A^3/atom
**Electronic total energy**: -4.271 eV/atom



No. 11
VASP calculation (PBE) on a geometry-optimized AcTb3Er3 structure.

POSCAR file:
```
AcTb3Er3
1.0
-6.222 6.222 6.222
6.222 -6.222 6.222
6.222 6.222 -6.222
Ac Tb Er
4 12 12
direct
0.000 0.000 0.262
0.000 0.262 0.000
0.262 0.000 0.000
0.738 0.738 0.738
0.000 0.605 0.804
0.000 0.804 0.605
0.196 0.196 0.801
0.196 0.801 0.196
0.199 0.395 0.395
0.395 0.199 0.395
0.395 0.395 0.199
0.605 0.000 0.804
0.605 0.804 0.000
0.801 0.196 0.196
0.804 0.000 0.605
0.804 0.605 0.000
0.000 0.306 0.571
0.000 0.571 0.306
0.265 0.694 0.694
0.306 0.000 0.571
0.306 0.571 0.000
0.429 0.429 0.735
0.429 0.735 0.429
0.571 0.000 0.306
0.571 0.306 0.000
0.694 0.265 0.694
0.694 0.694 0.265
0.735 0.429 0.429
```

Properties
**Formation enthalpy at 0 K**: 0.2399 eV per atom
**Volume**: 34.4 A^3/atom
**Electronic total energy**: -4.287 eV/atom
**E above lowest polymorph**: 0 meV/atom



No. 12
VASP calculation (PBE) on a geometry-optimized AcTb8Er6 structure.

POSCAR file:
```
AcTb8Er6
1.0
4.505 2.601 6.937
-4.505 2.601 6.937
0.000 -5.202 6.937
Ac Tb Er
1 8 6
direct
0.000 0.000 0.000
0.112 0.745 0.718
0.255 0.282 0.888
0.282 0.888 0.255
0.423 0.423 0.423
0.577 0.577 0.577
0.718 0.112 0.745
0.745 0.718 0.112
0.888 0.255 0.282
0.100 0.246 0.532
0.246 0.532 0.100
0.468 0.900 0.754
0.532 0.100 0.246
0.754 0.468 0.900
0.900 0.754 0.468
```

Properties
**Formation enthalpy at 0 K**: 0.1505 eV per atom
**Volume**: 32.5 A^3/atom
**Electronic total energy**: -4.418 eV/atom
**E above lowest polymorph**: 0 meV/atom